[1]
A plane-wave DFT calculation with PBE was carried out for crystalline Tb3Se5 at its relaxed geometry.

Lattice parameters (Å, degrees): 8.7567 8.7567 5.8204 90.00 90.00 120.00
Closest atoms and distances in Å follow each position.
Positions (direct):
Tb 0.0000 0.3674 0.2500  9 Se 2.91-3.14
Tb 0.0000 0.6326 0.7500  9 Se 2.91-3.14
Tb 0.3674 0.0000 0.2500  9 Se 2.91-3.14
Tb 0.3674 0.3674 0.7500  9 Se 2.91-3.14
Tb 0.6326 0.0000 0.7500  9 Se 2.91-3.14
Tb 0.6326 0.6326 0.2500  9 Se 2.91-3.14
Se 0.0000 0.2783 0.7500  5 Tb 2.91-3.10
Se 0.0000 0.7217 0.2500  5 Tb 2.91-3.10
Se 0.2783 0.0000 0.7500  5 Tb 2.91-3.10
Se 0.2783 0.2783 0.2500  5 Tb 2.91-3.10
Se 0.3333 0.6667 0.0000  2 Se 2.91, 6 Tb 3.14
Se 0.3333 0.6667 0.5000  2 Se 2.91, 6 Tb 3.14
Se 0.6667 0.3333 0.0000  2 Se 2.91, 6 Tb 3.14
Se 0.6667 0.3333 0.5000  2 Se 2.91, 6 Tb 3.14
Se 0.7217 0.0000 0.2500  5 Tb 2.91-3.10
Se 0.7217 0.7217 0.7500  5 Tb 2.91-3.10

## Properties
Symmetry = P6_3/mcm
Uncorrected formation energy = -1.697 eV per atom

[2]
A plane-wave DFT calculation with PBE was carried out for crystalline K2ZnCd3Pb4 at its relaxed geometry.

Lattice parameters (Å, degrees): 4.8950 4.8950 13.2102 90.00 90.00 90.00
Closest atoms and distances in Å follow each position.
Positions (direct):
K 0.0000 0.5000 0.2400  6 Cd 3.76-4.01, 4 Pb 3.77, 2 Zn 4.01
K 0.5000 0.0000 0.7600  6 Cd 3.76-4.01, 4 Pb 3.77, 2 Zn 4.01
Zn 0.5000 0.5000 0.0000  4 Pb 2.97
Cd 0.0000 0.0000 0.0000  4 Pb 2.97
Cd 0.0000 0.5000 0.6495  5 Pb 2.95-3.14
Cd 0.5000 0.0000 0.3505  5 Pb 2.95-3.14
Pb 0.0000 0.0000 0.5000  4 Cd 3.14, 4 Pb 3.46
Pb 0.0000 0.5000 0.8726  3 Cd 2.95-2.97, 2 Zn 2.97
Pb 0.5000 0.0000 0.1274  3 Cd 2.95-2.97, 2 Zn 2.97
Pb 0.5000 0.5000 0.5000  4 Cd 3.14, 4 Pb 3.46

## Properties
Symmetry = P-4m2
Energy relative to the elements = -0.64 eV/f.u.

[3]
A plane-wave DFT calculation with PBE was carried out for crystalline Tb8GaSe4S3 at its relaxed geometry.

Lattice parameters (Å, degrees): 8.1548 8.1548 8.1548 59.20 59.20 59.20
Closest atoms and distances in Å follow each position.
Positions (direct):
Tb 0.2426 0.2426 0.2426  3 S 2.78, 3 Se 2.96
Tb 0.2441 0.7447 0.7447  2 S 2.80, 1 Ga 2.81, 3 Se 2.93
Tb 0.2553 0.2553 0.7559  2 S 2.80, 1 Ga 2.81, 3 Se 2.93
Tb 0.2553 0.7559 0.2553  2 S 2.80, 1 Ga 2.81, 3 Se 2.93
Tb 0.7447 0.2441 0.7447  2 S 2.80, 1 Ga 2.81, 3 Se 2.93
Tb 0.7447 0.7447 0.2441  2 S 2.80, 1 Ga 2.81, 3 Se 2.93
Tb 0.7559 0.2553 0.2553  2 S 2.80, 1 Ga 2.81, 3 Se 2.93
Tb 0.7574 0.7574 0.7574  3 S 2.78, 3 Se 2.96
Ga 0.5000 0.5000 0.5000  6 Tb 2.81
Se 0.0000 0.0000 0.0000  6 Tb 2.93
Se 0.0000 0.5000 0.5000  6 Tb 2.93-2.96
Se 0.5000 0.0000 0.5000  6 Tb 2.93-2.96
Se 0.5000 0.5000 0.0000  6 Tb 2.93-2.96
S 0.0000 0.0000 0.5000  6 Tb 2.78-2.80
S 0.0000 0.5000 0.0000  6 Tb 2.78-2.80
S 0.5000 0.0000 0.0000  6 Tb 2.78-2.80

## Properties
Symmetry = R-3m
Uncorrected formation energy = -1.741 eV per atom

[4]
A plane-wave DFT calculation with PBE was carried out for crystalline NaHg2H at its relaxed geometry.

Lattice parameters (Å, degrees): 7.0786 7.0786 7.0786 90.00 90.00 90.00
Closest atoms and distances in Å follow each position.
Positions (direct):
Na 0.0000 0.0000 0.0000  8 Hg 3.07
Na 0.0000 0.5000 0.5000  8 Hg 3.07
Na 0.5000 0.0000 0.5000  8 Hg 3.07
Na 0.5000 0.5000 0.0000  8 Hg 3.07
Hg 0.2500 0.2500 0.2500  4 H 3.07, 4 Na 3.07
Hg 0.2500 0.2500 0.7500  4 H 3.07, 4 Na 3.07
Hg 0.2500 0.7500 0.2500  4 H 3.07, 4 Na 3.07
Hg 0.2500 0.7500 0.7500  4 H 3.07, 4 Na 3.07
Hg 0.7500 0.2500 0.2500  4 H 3.07, 4 Na 3.07
Hg 0.7500 0.2500 0.7500  4 H 3.07, 4 Na 3.07
Hg 0.7500 0.7500 0.2500  4 H 3.07, 4 Na 3.07
Hg 0.7500 0.7500 0.7500  4 H 3.07, 4 Na 3.07
H 0.0000 0.0000 0.5000  8 Hg 3.07
H 0.0000 0.5000 0.0000  8 Hg 3.07
H 0.5000 0.0000 0.0000  8 Hg 3.07
H 0.5000 0.5000 0.5000  8 Hg 3.07

## Properties
Symmetry = Fm-3m
E above lowest polymorph = 288 meV per atom

[5]
A plane-wave DFT calculation with PBE was carried out for crystalline K2CaInF6 at its relaxed geometry.

Lattice parameters (Å, degrees): 6.4207 9.0261 6.4138 90.00 90.00 90.00
Closest atoms and distances in Å follow each position.
Positions (direct):
K 0.2500 0.0104 0.2232  7 F 2.83-3.14
K 0.2500 0.4896 0.2232  7 F 2.83-3.14
K 0.7500 0.5104 0.7768  7 F 2.83-3.14
K 0.7500 0.9896 0.7768  7 F 2.83-3.14
Ca 0.2500 0.2500 0.7431  6 F 2.24-2.26
Ca 0.7500 0.7500 0.2569  6 F 2.24-2.26
In 0.2500 0.7500 0.7522  6 F 2.28-2.30
In 0.7500 0.2500 0.2478  6 F 2.28-2.30
F 0.0040 0.7500 0.0120  1 Ca 2.26, 1 In 2.30
F 0.0180 0.2500 0.4820  1 Ca 2.24, 1 In 2.28
F 0.2500 0.0023 0.7822  1 Ca 2.25, 1 In 2.29
F 0.2500 0.4977 0.7822  1 Ca 2.25, 1 In 2.29
F 0.4820 0.2500 0.4820  1 Ca 2.24, 1 In 2.28
F 0.4960 0.7500 0.0120  1 Ca 2.26, 1 In 2.30
F 0.5040 0.2500 0.9880  1 Ca 2.26, 1 In 2.30
F 0.5180 0.7500 0.5180  1 Ca 2.24, 1 In 2.28
F 0.7500 0.5023 0.2178  1 Ca 2.25, 1 In 2.29
F 0.7500 0.9977 0.2178  1 Ca 2.25, 1 In 2.29
F 0.9820 0.7500 0.5180  1 Ca 2.24, 1 In 2.28
F 0.9960 0.2500 0.9880  1 Ca 2.26, 1 In 2.30

## Properties
Symmetry = Pmmn
Uncorrected formation energy = -2.870 eV per atom

[6]
A plane-wave DFT calculation with PBE was carried out for crystalline RhWAu2 at its relaxed geometry.

Lattice parameters (Å, degrees): 2.8531 2.8531 8.1249 90.00 90.00 90.00
Closest atoms and distances in Å follow each position.
Positions (direct):
Rh 0.0000 0.0000 0.0000  4 W 2.65, 4 Rh 2.85, 4 Au 2.93
W 0.5000 0.5000 0.2118  4 Rh 2.65, 4 W 2.85, 4 Au 2.89
Au 0.0000 0.0000 0.4673  8 Au 2.85-2.99, 4 W 2.89
Au 0.5000 0.5000 0.7386  8 Au 2.85-2.99, 4 Rh 2.93

## Properties
Symmetry = P4mm
Energy relative to the elements = 0.19 eV/f.u.
E above lowest polymorph = 0 meV per atom

[7]
A plane-wave DFT calculation with PBE was carried out for crystalline PmMg2Pt at its relaxed geometry.

Lattice parameters (Å, degrees): 6.8894 6.8894 6.8894 90.00 90.00 90.00
Closest atoms and distances in Å follow each position.
Positions (direct):
Pm 0.0000 0.0000 0.0000  8 Mg 2.98
Pm 0.0000 0.5000 0.5000  8 Mg 2.98
Pm 0.5000 0.0000 0.5000  8 Mg 2.98
Pm 0.5000 0.5000 0.0000  8 Mg 2.98
Mg 0.2500 0.2500 0.2500  4 Pm 2.98, 4 Pt 2.98
Mg 0.2500 0.2500 0.7500  4 Pm 2.98, 4 Pt 2.98
Mg 0.2500 0.7500 0.2500  4 Pm 2.98, 4 Pt 2.98
Mg 0.2500 0.7500 0.7500  4 Pm 2.98, 4 Pt 2.98
Mg 0.7500 0.2500 0.2500  4 Pm 2.98, 4 Pt 2.98
Mg 0.7500 0.2500 0.7500  4 Pm 2.98, 4 Pt 2.98
Mg 0.7500 0.7500 0.2500  4 Pm 2.98, 4 Pt 2.98
Mg 0.7500 0.7500 0.7500  4 Pm 2.98, 4 Pt 2.98
Pt 0.0000 0.0000 0.5000  8 Mg 2.98
Pt 0.0000 0.5000 0.0000  8 Mg 2.98
Pt 0.5000 0.0000 0.0000  8 Mg 2.98
Pt 0.5000 0.5000 0.5000  8 Mg 2.98

## Properties
Symmetry = Fm-3m
Energy relative to the elements = -1.68 eV/f.u.
E above lowest polymorph = 286 meV per atom

[8]
A plane-wave DFT calculation with PBE was carried out for crystalline Nd3Sm3ScTe8 at its relaxed geometry.

Lattice parameters (Å, degrees): 8.8972 8.8972 8.8972 59.84 59.84 59.84
Closest atoms and distances in Å follow each position.
Positions (direct):
Nd 0.0000 0.5000 0.5000  6 Te 3.16
Nd 0.5000 0.0000 0.5000  6 Te 3.16
Nd 0.5000 0.5000 0.0000  6 Te 3.16
Sm 0.0000 0.0000 0.5000  6 Te 3.12
Sm 0.0000 0.5000 0.0000  6 Te 3.12
Sm 0.5000 0.0000 0.0000  6 Te 3.12
Sc 0.5000 0.5000 0.5000  6 Te 3.05
Te 0.2486 0.2486 0.2486  3 Sm 3.12, 3 Nd 3.16
Te 0.2543 0.7428 0.7428  1 Sc 3.05, 2 Sm 3.12, 2 Nd 3.16
Te 0.2572 0.2572 0.7457  1 Sc 3.05, 2 Sm 3.12, 2 Nd 3.16
Te 0.2572 0.7457 0.2572  1 Sc 3.05, 2 Sm 3.12, 2 Nd 3.16
Te 0.7428 0.2543 0.7428  1 Sc 3.05, 2 Sm 3.12, 2 Nd 3.16
Te 0.7428 0.7428 0.2543  1 Sc 3.05, 2 Sm 3.12, 2 Nd 3.16
Te 0.7457 0.2572 0.2572  1 Sc 3.05, 2 Sm 3.12, 2 Nd 3.16
Te 0.7514 0.7514 0.7514  3 Sm 3.12, 3 Nd 3.16

## Properties
Symmetry = R-3m
Uncorrected formation energy = -1.401 eV per atom

Magnetic moment readings, ordered: 0.0; 0.0; 0.0; 0.0; 0.7; 0.0; 0.0; 0.0 μB per formula unit
N(E_F) readings, ordered: 2.482; 5.448; 6.009; 4.014; 6.564; 3.787; 14.346; 7.772 states/eV per cell